[1]
Density functional theory data (GGA-PBEsol) for a relaxed Ba2Li2Pd crystal.

calculated formation energy = -2.95 kcal/mol of atoms
DOS(E_F) = 3.41 states/eV/f.u.

Lattice parameters (Å, degrees): 3.9091 3.9091 10.5003 100.73 100.73 90.00
Last column: nearest neighbours and their distance in Å.
Fractional positions:
Ba: 0.4101 0.4101 0.8202  4 Pd 3.31, 1 Ba 3.64
Ba: 0.5899 0.5899 0.1798  4 Pd 3.31, 1 Ba 3.64
Pd: 0.0000 0.0000 0.0000  8 Ba 3.31
Li: 0.2500 0.7500 0.5000  4 Li 2.76
Li: 0.7500 0.2500 0.5000  4 Li 2.76

[2]
Density functional theory data (GGA-PBEsol) for a relaxed BaLi3Pd crystal.

calculated formation energy = -1.93 kcal/mol of atoms
DOS(E_F) = 3.85 states/eV/f.u.

Lattice parameters (Å, degrees): 4.9886 4.9886 4.9886 90.00 90.00 90.00
Last column: nearest neighbours and their distance in Å.
Fractional positions:
Ba: 0.5000 0.5000 0.5000  12 Li 3.53
Pd: 0.0000 0.0000 0.0000  6 Li 2.49
Li: 0.0000 0.5000 0.0000  2 Pd 2.49
Li: 0.0000 0.0000 0.5000  2 Pd 2.49
Li: 0.5000 0.0000 0.0000  2 Pd 2.49

[3]
Density functional theory data (GGA-PBEsol) for a relaxed Ba3LiPd crystal.

distance to the lowest polymorph of the same formula = 0.000 eV/atom
calculated formation energy = -3.63 kcal/mol of atoms
DOS(E_F) = 3.57 states/eV/f.u.

Lattice parameters (Å, degrees): 6.1756 6.1756 6.1756 90.00 90.00 90.00
Last column: nearest neighbours and their distance in Å.
Fractional positions:
Ba: 0.0000 0.5000 0.0000  2 Pd 3.09
Ba: 0.0000 0.0000 0.5000  2 Pd 3.09
Ba: 0.5000 0.0000 0.0000  2 Pd 3.09
Pd: 0.0000 0.0000 0.0000  6 Ba 3.09
Li: 0.5000 0.5000 0.5000  12 Ba 4.37

Q: Look up the calculated formation energy of the third one.
A: -3.63 kcal/mol of atoms

Repeat the first record exactly.
Density functional theory data (GGA-PBEsol) for a relaxed Ba2Li2Pd crystal.

calculated formation energy = -2.95 kcal/mol of atoms
DOS(E_F) = 3.41 states/eV/f.u.

Lattice parameters (Å, degrees): 3.9091 3.9091 10.5003 100.73 100.73 90.00
Last column: nearest neighbours and their distance in Å.
Fractional positions:
Ba: 0.4101 0.4101 0.8202  4 Pd 3.31, 1 Ba 3.64
Ba: 0.5899 0.5899 0.1798  4 Pd 3.31, 1 Ba 3.64
Pd: 0.0000 0.0000 0.0000  8 Ba 3.31
Li: 0.2500 0.7500 0.5000  4 Li 2.76
Li: 0.7500 0.2500 0.5000  4 Li 2.76

Q: The lowest DOS(E_F) belongs to which entry?
A: Ba2Li2Pd